The following is a PBE calculation of a relaxed structure of ZnTcGeSb2, from the Alexandria database. Values from VASP.

Structure (Quantum ESPRESSO input):
```
&SYSTEM
  ibrav = 0, nat = 5, ntyp = 4
/
ATOMIC_SPECIES
Zn 65.41 Zn.upf
Sb 121.76 Sb.upf
Tc 98.00 Tc.upf
Ge 72.64 Ge.upf
CELL_PARAMETERS angstrom
5.3520 0.0000 0.0000
0.0000 4.7364 0.0000
0.0000 0.0000 5.3520
ATOMIC_POSITIONS crystal
Zn 0.5000 0.5000 0.5000
Sb 0.0000 0.0000 0.5000
Sb 0.5000 0.0000 0.0000
Tc 0.0000 0.5000 0.0000
Ge 0.0000 0.0000 0.0000
```

Computed properties:
Uncorrected formation energy, meV/atom: 1087
Magnetic moment, Bohr magnetons per cell: 2.42